[1]
{
  "formula": "NaH2IrBr",
  "functional": "PBE-GGA",
  "state": "optimized geometry",
  "rho_g_cm3": 4.99,
  "space_group": "P4/mmm, No. 123",
  "m_tot_mub_per_fu": 1.1,
  "dft_energy_ev_per_atom": -3.476,
  "lattice_angstrom": [[3.654, 0.000, 0.000], [0.000, 7.413, 0.000], [0.000, 0.000, 3.654]],
  "species": ["Na", "Ir", "Br", "H", "H"],
  "frac_coords": [[0.000, 0.500, 0.000], [0.000, 0.000, 0.000], [0.500, 0.500, 0.500], [0.000, 0.000, 0.500], [0.500, 0.000, 0.000]]
}

***

[2]
{
  "formula": "NaPaZn",
  "functional": "PBE-GGA",
  "state": "optimized geometry",
  "rho_g_cm3": 7.47,
  "space_group": "Amm2, No. 38",
  "m_tot_mub_per_fu": 0.0,
  "delta_e_f_ev_per_atom": 0.22,
  "lattice_angstrom": [[-2.836, -1.212, -0.385], [1.808, -0.984, 2.327], [-6.497, 11.987, 10.121]],
  "species": ["Zn", "Zn", "Pa", "Pa", "Na", "Na"],
  "frac_coords": [[0.606, 0.211, 0.000], [0.282, 0.564, 0.500], [0.615, 0.231, 0.350], [0.615, 0.231, 0.650], [0.274, 0.548, 0.843], [0.274, 0.548, 0.157]]
}

***

[3]
{
  "formula": "Tb2PmSm2Tm",
  "functional": "PBE-GGA",
  "state": "optimized geometry",
  "rho_g_cm3": 7.95,
  "space_group": "Pmma, No. 51",
  "m_tot_mub_per_fu": 0.0,
  "delta_e_f_ev_per_atom": 0.07,
  "lattice_angstrom": [[-0.478, 5.583, 0.869], [-6.852, -0.387, -1.278], [-1.689, -1.632, 9.551]],
  "species": ["Tb", "Tb", "Tb", "Tb", "Pm", "Pm", "Sm", "Sm", "Sm", "Sm", "Tm", "Tm"],
  "frac_coords": [[0.000, 0.257, 0.836], [0.500, 0.258, 0.331], [0.000, 0.757, 0.164], [0.500, 0.758, 0.669], [0.000, 0.008, 0.500], [0.000, 0.508, 0.500], [0.500, 0.008, 0.000], [0.000, 0.258, 0.170], [0.500, 0.508, 0.000], [0.000, 0.758, 0.830], [0.500, 0.258, 0.664], [0.500, 0.758, 0.336]]
}